[1]
VASP calculation (PBE) on FeAgRh2 after structural relaxation.

abc: 3.0167 4.4721 8.8653
angles: 90.00 90.00 90.00
With the nearest neighbours (Å) after each atom.
Space group Imm2 (No. 44)
Unique sites:
Fe 0.0000 0.0000 0.0000 [2 per cell]  6 Rh 2.47-2.71, 2 Ag 2.68
Ag 0.0000 0.5000 0.2496 [2 per cell]  2 Fe 2.68, 6 Rh 2.71-2.85
Rh 0.0000 0.0000 0.4767 [2 per cell]  4 Fe 2.71, 4 Rh 2.73-3.02, 4 Ag 2.85-3.01
Rh 0.0000 0.5000 0.7204 [2 per cell]  2 Fe 2.47, 4 Ag 2.71, 2 Rh 2.73

Calculated values
- ΔE_f (meV per atom) = 267
- ρ (g/cm³) = 10.3
- excess energy over the best structure of this formula in the dataset (meV per atom) = 180
- uncorrected energy (eV per atom) = -6.237


[2]
VASP calculation (PBE) on FeAg2Rh after structural relaxation.

abc: 3.8230 3.8230 4.2827
angles: 90.00 90.00 90.00
With the nearest neighbours (Å) after each atom.
Space group P4/mmm (No. 123)
Unique sites:
Fe 0.0000 0.0000 0.0000 [1 per cell]  4 Rh 2.70, 8 Ag 2.87
Ag 0.0000 0.5000 0.5000 [2 per cell]  4 Ag 2.70, 4 Fe 2.87, 4 Rh 2.87
Rh 0.5000 0.5000 0.0000 [1 per cell]  4 Fe 2.70, 8 Ag 2.87

Calculated values
- ΔE_f (meV per atom) = 265
- ρ (g/cm³) = 9.9
- excess energy over the best structure of this formula in the dataset (meV per atom) = 117
- uncorrected energy (eV per atom) = -5.114


[3]
VASP calculation (PBE) on FeAgRh2 after structural relaxation.

abc: 2.7394 4.1721 5.3555
angles: 90.00 103.53 90.00
With the nearest neighbours (Å) after each atom.
Space group P2/m (No. 10)
Unique sites:
Fe 0.0000 0.0000 0.0000 [1 per cell]  4 Rh 2.52, 2 Ag 2.68, 2 Fe 2.74
Ag 0.0000 0.0000 0.5000 [1 per cell]  2 Fe 2.68, 2 Ag 2.74, 8 Rh 2.86-2.87
Rh 0.3817 0.5000 0.2299 [2 per cell]  2 Fe 2.52, 4 Rh 2.69-2.81

Calculated values
- ΔE_f (meV per atom) = 194
- ρ (g/cm³) = 10.3
- excess energy over the best structure of this formula in the dataset (meV per atom) = 107
- uncorrected energy (eV per atom) = -6.310


[4]
VASP calculation (PBE) on FeAg4Rh after structural relaxation.

abc: 7.5072 7.5072 7.5072
angles: 90.00 90.00 90.00
With the nearest neighbours (Å) after each atom.
Space group F-43m (No. 216)
Unique sites:
Fe 0.0000 0.0000 0.0000 [4 per cell]  12 Ag 3.11, 4 Rh 3.25
Ag 0.1250 0.1250 0.6250 [16 per cell]  6 Ag 2.65
Rh 0.2500 0.2500 0.2500 [4 per cell]  12 Ag 3.11, 4 Fe 3.25

Calculated values
- ΔE_f (meV per atom) = 572
- ρ (g/cm³) = 9.3
- uncorrected energy (eV per atom) = -3.965